[1]
# CeDy2PaAs4 | the Alexandria database | PBE-GGA | relaxed
# crystal system = monoclinic
# Fermi-level density of states = 10.225 states/eV/cell
# energy of formation from the pure elements = -1384 meV/atom
# volume = 199.8 Å³ per cell
data_CeDy2PaAs4
_cell_length_a 7.1399
_cell_length_b 4.1382
_cell_length_c 7.1724
_cell_angle_alpha 90.00
_cell_angle_beta 109.51
_cell_angle_gamma 90.00
_space_group_name_H-M_alt 'P 1 2/m 1'
_space_group_IT_number 10
_space_group_name_Hall '-P 2y'
loop_
_atom_site_label
_atom_site_type_symbol
_atom_site_fract_x
_atom_site_fract_y
_atom_site_fract_z
Ce1 Ce 0.0000 0.0000 0.0000
Dy1 Dy 0.5000 0.0000 0.5000
Dy2 Dy 0.5000 0.5000 0.0000
Pa1 Pa 0.0000 0.5000 0.5000
As1 As 0.2498 0.0000 0.7455
As2 As 0.2516 0.5000 0.2557

[2]
# CaHo2RhO5 | the Alexandria database | PBE-GGA | relaxed
# crystal system = orthorhombic
# E_form (uncorrected) = -2.43 eV per atom
# Fermi-level density of states = 4.752 states/eV/cell
# volume = 251.2 Å³ per cell
data_CaHo2RhO5
_cell_length_a 3.8623
_cell_length_b 5.6015
_cell_length_c 11.6091
_cell_angle_alpha 90.00
_cell_angle_beta 90.00
_cell_angle_gamma 90.00
_space_group_name_H-M_alt 'I m m m'
_space_group_IT_number 71
_space_group_name_Hall '-I 2 2'
loop_
_atom_site_label
_atom_site_type_symbol
_atom_site_fract_x
_atom_site_fract_y
_atom_site_fract_z
Ca1 Ca 0.0000 0.0000 0.0000
Ho1 Ho 0.0000 0.5000 0.2023
Rh1 Rh 0.0000 0.0000 0.5000
O1 O 0.0000 0.2463 0.3469
O2 O 0.0000 0.5000 0.0000

[3]
# Y6Sb2AsSe3 | the Alexandria database | PBE-GGA | relaxed
# crystal system = monoclinic
# E_form (uncorrected) = -1.55 eV per atom
# Fermi-level density of states = 9.486 states/eV/cell
# volume = 630.0 Å³ per cell
data_Y6Sb2AsSe3
_cell_length_a 18.3256
_cell_length_b 4.1985
_cell_length_c 8.4021
_cell_angle_alpha 90.00
_cell_angle_beta 102.96
_cell_angle_gamma 90.00
_space_group_name_H-M_alt 'C 1 2/m 1'
_space_group_IT_number 12
_space_group_name_Hall '-C 2y'
loop_
_atom_site_label
_atom_site_type_symbol
_atom_site_fract_x
_atom_site_fract_y
_atom_site_fract_z
Y1 Y 0.0024 0.0000 0.2636
Y2 Y 0.1606 0.5000 0.5733
Y3 Y 0.1620 0.5000 0.0907
Sb1 Sb 0.1673 0.0000 0.8348
As1 As 0.0000 0.5000 0.5000
Se1 Se 0.0000 0.5000 0.0000
Se2 Se 0.1684 0.0000 0.3357

[4]
# Sm8YTm5 | the Alexandria database | PBE-GGA | relaxed
# crystal system = tetragonal
# Fermi-level density of states = 41.916 states/eV/cell
# energy of formation from the pure elements = 254 meV/atom
# volume = 940.8 Å³ per cell
data_Sm8YTm5
_cell_length_a 9.5943
_cell_length_b 9.5943
_cell_length_c 10.2200
_cell_angle_alpha 90.00
_cell_angle_beta 90.00
_cell_angle_gamma 90.00
_space_group_name_H-M_alt 'I -4'
_space_group_IT_number 82
_space_group_name_Hall 'I -4'
loop_
_atom_site_label
_atom_site_type_symbol
_atom_site_fract_x
_atom_site_fract_y
_atom_site_fract_z
Sm1 Sm 0.0692 0.3261 0.4036
Sm2 Sm 0.0905 0.1744 0.7470
Y1 Y 0.0000 0.5000 0.7500
Tm1 Tm 0.0000 0.0000 0.5000
Tm2 Tm 0.1102 0.2049 0.0732

[5]
# SrIrW | the Alexandria database | PBE-GGA | relaxed
# crystal system = trigonal
# Fermi-level density of states = 4.000 states/eV/cell
# energy of formation from the pure elements = 290 meV/atom
# distance to the lowest polymorph of the same formula = 0.0 meV/atom
# volume = 77.6 Å³ per cell
data_SrIrW
_cell_length_a 4.2101
_cell_length_b 4.2101
_cell_length_c 5.0547
_cell_angle_alpha 90.00
_cell_angle_beta 90.00
_cell_angle_gamma 120.00
_space_group_name_H-M_alt 'P 3 m 1'
_space_group_IT_number 156
_space_group_name_Hall 'P 3 -2"'
loop_
_atom_site_label
_atom_site_type_symbol
_atom_site_fract_x
_atom_site_fract_y
_atom_site_fract_z
Sr1 Sr 0.0000 0.0000 0.0000
Ir1 Ir 0.3333 0.6667 0.5315
W1 W 0.6667 0.3333 0.4863

[6]
# PRhAuCl2 | the Alexandria database | PBE-GGA | relaxed
# crystal system = tetragonal
# E_form (uncorrected) = 1.01 eV per atom
# Fermi-level density of states = 11.819 states/eV/cell
# distance to the lowest polymorph of the same formula = 643.1 meV/atom
# volume = 119.0 Å³ per cell
data_PRhAuCl2
_cell_length_a 4.9468
_cell_length_b 4.9468
_cell_length_c 4.8635
_cell_angle_alpha 90.00
_cell_angle_beta 90.00
_cell_angle_gamma 90.00
_space_group_name_H-M_alt 'P 4/m m m'
_space_group_IT_number 123
_space_group_name_Hall '-P 4 2'
loop_
_atom_site_label
_atom_site_type_symbol
_atom_site_fract_x
_atom_site_fract_y
_atom_site_fract_z
P1 P 0.0000 0.0000 0.0000
Rh1 Rh 0.5000 0.5000 0.0000
Au1 Au 0.0000 0.0000 0.5000
Cl1 Cl 0.0000 0.5000 0.5000

[7]
# TlRuI3 | the Alexandria database | PBE-GGA | relaxed
# crystal system = cubic
# E_form (uncorrected) = 0.93 eV per atom
# Fermi-level density of states = 1.869 states/eV/cell
# distance to the lowest polymorph of the same formula = 896.2 meV/atom
# volume = 224.3 Å³ per cell
data_TlRuI3
_cell_length_a 6.0758
_cell_length_b 6.0758
_cell_length_c 6.0758
_cell_angle_alpha 90.00
_cell_angle_beta 90.00
_cell_angle_gamma 90.00
_space_group_name_H-M_alt 'P m -3 m'
_space_group_IT_number 221
_space_group_name_Hall '-P 4 2 3'
loop_
_atom_site_label
_atom_site_type_symbol
_atom_site_fract_x
_atom_site_fract_y
_atom_site_fract_z
Tl1 Tl 0.0000 0.0000 0.0000
Ru1 Ru 0.5000 0.5000 0.5000
I1 I 0.0000 0.0000 0.5000

[8]
# Pm2PrIn3 | the Alexandria database | PBE-GGA | relaxed
# crystal system = tetragonal
# Fermi-level density of states = 3.532 states/eV/cell
# energy of formation from the pure elements = -496 meV/atom
# volume = 173.5 Å³ per cell
data_Pm2PrIn3
_cell_length_a 3.8670
_cell_length_b 3.8670
_cell_length_c 11.6022
_cell_angle_alpha 90.00
_cell_angle_beta 90.00
_cell_angle_gamma 90.00
_space_group_name_H-M_alt 'P 4/m m m'
_space_group_IT_number 123
_space_group_name_Hall '-P 4 2'
loop_
_atom_site_label
_atom_site_type_symbol
_atom_site_fract_x
_atom_site_fract_y
_atom_site_fract_z
Pm1 Pm 0.0000 0.0000 0.1646
Pr1 Pr 0.0000 0.0000 0.5000
In1 In 0.5000 0.5000 0.0000
In2 In 0.5000 0.5000 0.3285